# ZrInCoRu, relaxed, DFT PBE-GGA
# Energy of formation   -1.28 eV per formula unit
# Total DFT energy (no corrections)   -7.2361 eV/atom
data_ZrInCoRu
_symmetry_space_group_name_H-M 'F -4 3 m'
_symmetry_Int_Tables_number 216
_symmetry_space_group_name_Hall 'F -4 2 3'
_cell_length_a 6.395
_cell_length_b 6.395
_cell_length_c 6.395
_cell_angle_alpha 90.00
_cell_angle_beta 90.00
_cell_angle_gamma 90.00
loop_
_atom_site_label
_atom_site_type_symbol
_atom_site_fract_x
_atom_site_fract_y
_atom_site_fract_z
Zr1 Zr 0.000 0.000 0.000
In1 In 0.000 0.000 0.500
Co1 Co 0.250 0.250 0.750
Ru1 Ru 0.250 0.250 0.250